46
Lattice="-5.383 -4.562 -4.445 7.007 -4.660 -0.139 -3.434 0.113 9.768" Properties=species:S:1:pos:R:3 comment="Na3Mn2P2C2O14 PBE+U relaxed" final_energy_ev_per_cell=-319.080 rho_kg_m3=2607 crystal_system=triclinic pbc="T T T"
Mn -4.971 -5.172 -0.819
Mn -3.088 -3.915 3.799
Mn 1.229 -5.215 1.381
Mn 3.081 -3.938 5.961
O -5.700 -5.004 1.034
O 3.146 -5.192 1.874
O -0.473 -8.469 2.281
O -0.337 -7.481 6.047
O -5.165 -3.826 3.267
O -2.856 -5.164 -0.272
O -3.759 -4.009 5.686
O 2.394 -7.886 -1.579
O -1.120 -3.995 4.691
O -0.659 -6.143 -3.106
O 1.866 -5.018 -0.514
O 2.485 -4.207 7.856
O 0.619 -5.139 3.234
O 1.215 -4.135 5.471
O 1.429 -3.336 0.792
O -4.003 -1.195 6.675
O 1.349 -7.162 1.018
O -0.559 -5.249 0.596
O 3.647 -4.004 4.082
O -1.384 -2.795 8.424
O 0.648 -2.597 3.483
O -1.525 -0.324 2.808
O -1.414 -1.786 -1.041
O -3.342 -5.808 4.532
O -4.250 -4.982 -2.678
O -2.369 -6.575 1.822
O -2.407 -4.069 1.963
O -3.138 -1.883 4.066
C 1.802 -3.693 -0.431
C -3.753 -5.336 5.681
C 2.526 -5.519 7.741
C -4.230 -3.671 -2.624
Na -3.179 -2.196 0.304
Na -2.688 -6.673 -2.166
Na -1.820 -2.318 6.276
Na 0.364 -6.812 -1.176
Na -5.372 -2.295 5.128
Na -1.472 -7.034 4.083
P -5.982 -3.794 1.979
P -2.062 -5.271 1.029
P 4.055 -5.218 3.150
P 0.328 -3.915 4.203